Record 1
{
  "formula": "MgZr3N",
  "functional": "PBE",
  "state": "optimized geometry",
  "energy_ev_per_atom": -6.175,
  "formation_energy_uncorrected_ev_per_atom": 0.938,
  "mass_density_g_cm3": 4.902,
  "sg": "P6_3/mmc, No. 194",
  "lattice_angstrom": [[-2.131, 3.458, -0.208], [-1.829, -3.562, -0.712], [-3.299, -1.170, 14.336]],
  "species": ["Mg", "Mg", "Zr", "Zr", "Zr", "Zr", "Zr", "Zr", "N", "N"],
  "frac_coords": [[0.333, 0.667, 0.750], [0.667, 0.333, 0.250], [0.000, 0.000, 0.250], [0.000, 0.000, 0.750], [0.333, 0.667, 0.938], [0.333, 0.667, 0.562], [0.667, 0.333, 0.438], [0.667, 0.333, 0.062], [0.000, 0.000, 0.000], [0.000, 0.000, 0.500]]
}



Record 2
{
  "formula": "MgZr4N5",
  "functional": "PBE",
  "state": "optimized geometry",
  "energy_ev_per_atom": -9.309,
  "formation_energy_uncorrected_ev_per_atom": -1.568,
  "mass_density_g_cm3": 6.356,
  "sg": "I4/m, No. 87",
  "lattice_angstrom": [[4.555, 0.000, 0.000], [2.278, 5.132, 0.000], [2.278, 0.000, 5.132]],
  "species": ["Mg", "Zr", "Zr", "Zr", "Zr", "N", "N", "N", "N", "N"],
  "frac_coords": [[0.001, 0.000, 0.000], [0.397, 0.402, 0.806], [0.799, 0.806, 0.598], [0.203, 0.194, 0.402], [0.605, 0.598, 0.194], [0.905, 0.393, 0.799], [0.298, 0.799, 0.607], [0.704, 0.201, 0.393], [0.097, 0.607, 0.201], [0.501, 0.000, 0.000]]
}